Density functional theory data (PBE) for a relaxed structure of Mg5TlAg4.

abc: 3.407 3.407 16.958
angles: 90.00 90.00 90.00
Positions (direct):
Ag 0.000 0.000 0.786
Ag 0.000 0.000 0.404
Ag 0.000 0.000 0.214
Ag 0.000 0.000 0.596
Tl 0.000 0.000 0.000
Mg 0.500 0.500 0.500
Mg 0.500 0.500 0.881
Mg 0.500 0.500 0.119
Mg 0.500 0.500 0.310
Mg 0.500 0.500 0.690

Properties
The value obtained for the calculated formation energy is -0.19 eV per atom. As for the space group: P4/mmm (123). The magnetization is 0.00 Bohr magnetons per cell.

***

Density functional theory data (PBE) for a relaxed structure of MgTlAg2.

abc: 9.432 9.432 9.432
angles: 19.99 19.99 19.99
Positions (direct):
Ag 0.250 0.250 0.250
Ag 0.995 0.995 0.995
Mg 0.507 0.507 0.507
Tl 0.749 0.749 0.749

Properties
The value obtained for the calculated formation energy is 0.04 eV per atom. As for the space group: R3m (160). The magnetization is 0.00 Bohr magnetons per cell.

***

Density functional theory data (PBE) for a relaxed structure of MgTlAg2.

abc: 3.380 3.701 6.578
angles: 90.00 90.00 90.00
Positions (direct):
Tl 0.500 0.500 0.750
Ag 0.000 0.000 0.471
Ag 0.000 0.000 0.029
Mg 0.500 0.500 0.250

Properties
The value obtained for the calculated formation energy is -0.05 eV per atom. As for the space group: Pmmm (47). The magnetization is 0.00 Bohr magnetons per cell.

***

Density functional theory data (PBE) for a relaxed structure of Mg7Tl2Ag2.

abc: 3.561 8.942 8.942
angles: 65.12 78.52 78.52
Positions (direct):
Mg 0.500 0.040 0.960
Mg 0.342 0.751 0.564
Mg 0.839 0.469 0.853
Mg 0.658 0.436 0.249
Mg 0.167 0.706 0.960
Mg 0.833 0.040 0.294
Mg 0.161 0.147 0.531
Ag 0.303 0.286 0.108
Ag 0.697 0.892 0.714
Tl 0.000 0.704 0.296
Tl 0.500 0.383 0.617

Properties
The value obtained for the calculated formation energy is -0.06 eV per atom. As for the space group: Imm2 (44). The magnetization is 0.00 Bohr magnetons per cell.

***

Density functional theory data (PBE) for a relaxed structure of Mg7TlAg5.

abc: 5.629 7.488 7.488
angles: 82.22 67.92 67.92
Positions (direct):
Mg 0.317 0.683 0.683
Mg 0.640 0.360 0.360
Mg 0.513 0.797 0.176
Mg 0.269 0.231 0.231
Mg 0.997 0.663 0.343
Mg 0.513 0.176 0.797
Mg 0.997 0.343 0.663
Ag 0.006 0.487 0.002
Ag 0.006 0.002 0.487
Ag 0.746 0.754 0.754
Ag 0.505 0.487 0.002
Ag 0.505 0.002 0.487
Tl 0.985 0.015 0.015

Properties
The value obtained for the calculated formation energy is -0.13 eV per atom. As for the space group: Imm2 (44). The magnetization is 0.00 Bohr magnetons per cell.

***

Density functional theory data (PBE) for a relaxed structure of Mg4TlAg3.

abc: 3.442 3.442 13.450
angles: 90.00 90.00 90.00
Positions (direct):
Mg 0.000 0.000 0.854
Mg 0.000 0.000 0.618
Mg 0.000 0.000 0.146
Mg 0.000 0.000 0.382
Ag 0.500 0.500 0.264
Ag 0.500 0.500 0.500
Ag 0.500 0.500 0.736
Tl 0.500 0.500 0.000

Properties
The value obtained for the calculated formation energy is -0.18 eV per atom. As for the space group: P4/mmm (123). The magnetization is 0.00 Bohr magnetons per cell.

***

Density functional theory data (PBE) for a relaxed structure of Mg7TlAg2.

abc: 4.804 4.804 11.493
angles: 90.00 90.00 120.00
Positions (direct):
Mg 0.667 0.333 0.587
Mg 0.000 0.000 0.720
Mg 0.667 0.333 0.842
Mg 0.333 0.667 0.947
Mg 0.667 0.333 0.121
Mg 0.000 0.000 0.289
Mg 0.333 0.667 0.441
Tl 0.000 0.000 0.018
Ag 0.667 0.333 0.354
Ag 0.333 0.667 0.697

Properties
The value obtained for the calculated formation energy is -0.05 eV per atom. As for the space group: P3m1 (156). The magnetization is 0.00 Bohr magnetons per cell. The calculation puts the offset from the most stable computed form at 0.49 kcal/mol of atoms.

***

Density functional theory data (PBE) for a relaxed structure of Mg3TlAg2.

abc: 3.461 3.461 10.246
angles: 90.00 90.00 90.00
Positions (direct):
Ag 0.500 0.500 0.847
Ag 0.500 0.500 0.153
Mg 0.000 0.000 0.692
Mg 0.000 0.000 0.308
Mg 0.000 0.000 0.000
Tl 0.500 0.500 0.500

Properties
The value obtained for the calculated formation energy is -0.16 eV per atom. As for the space group: P4/mmm (123). The magnetization is 0.00 Bohr magnetons per cell.